The following is a PBE-GGA calculation of an optimized crystal structure of LaTc2Sb, from Alexandria. Values from VASP.

Quantum ESPRESSO input file:
```
&SYSTEM
  ibrav = 0, nat = 4, ntyp = 3
/
ATOMIC_SPECIES
La 138.91 La.upf
Sb 121.76 Sb.upf
Tc 98.00 Tc.upf
ATOMIC_POSITIONS angstrom
La 4.373 2.466 0.000
Sb 2.882 0.000 1.415
Tc 0.000 0.000 0.000
Tc 1.491 2.466 1.415
CELL_PARAMETERS angstrom
5.764 0.000 0.000
2.983 4.932 0.000
-4.373 -2.466 2.831
```

Results
Its raw formation energy is 0.30 eV per atom. The space-group type is I-4m2. The density of states at the Fermi level is 5.0 states/eV/f.u.